Entry 1:
A relaxed structure of Na3YNp3Te8. Source: Alexandria, functional PBE.

Calculated values
The calculation puts the total energy at -5.86 eV per atom. The calculation puts the energy relative to the elements, uncorrected at -902.2 meV per atom.

Cell: 9.123 9.123 9.123 Å, 58.29 58.29 58.29°
Fractional coordinates of all 15 atoms:
Na1 0.000 0.500 0.500
Na2 0.500 0.000 0.500
Na3 0.500 0.500 0.000
Y1 0.500 0.500 0.500
Np1 0.000 0.000 0.500
Np2 0.000 0.500 0.000
Np3 0.500 0.000 0.000
Te1 0.242 0.744 0.744
Te2 0.244 0.244 0.244
Te3 0.256 0.256 0.758
Te4 0.256 0.758 0.256
Te5 0.744 0.242 0.744
Te6 0.744 0.744 0.242
Te7 0.756 0.756 0.756
Te8 0.758 0.256 0.256

---

Entry 2:
A relaxed structure of NaYNp2Te4. Source: Alexandria, functional PBE.

Calculated values
The calculation puts the total energy at -6.67 eV per atom. The calculation puts the energy relative to the elements, uncorrected at -894.1 meV per atom.

Cell: 7.660 4.399 7.682 Å, 90.00 109.13 90.00°
Fractional coordinates of all 8 atoms:
Na1 0.000 0.000 0.000
Y1 0.000 0.500 0.500
Np1 0.500 0.000 0.500
Np2 0.500 0.500 0.000
Te1 0.248 0.000 0.748
Te2 0.250 0.500 0.253
Te3 0.750 0.500 0.747
Te4 0.752 0.000 0.252

---

Entry 3:
A relaxed structure of Na3Y2NpTe6. Source: Alexandria, functional PBE.

Calculated values
The calculation puts the total energy at -5.20 eV per atom. The calculation puts the energy relative to the elements, uncorrected at -1148.1 meV per atom.

Cell: 7.731 7.731 7.962 Å, 99.35 99.35 120.01°
Fractional coordinates of all 12 atoms:
Na1 0.000 0.000 0.000
Na2 0.335 0.665 0.000
Na3 0.665 0.335 0.000
Y1 0.167 0.833 0.500
Y2 0.833 0.167 0.500
Np1 0.500 0.500 0.500
Te1 0.084 0.422 0.266
Te2 0.240 0.240 0.733
Te3 0.422 0.084 0.266
Te4 0.578 0.916 0.734
Te5 0.760 0.760 0.267
Te6 0.916 0.578 0.734

---

Entry 4:
A relaxed structure of NaY2NpTe4. Source: Alexandria, functional PBE.

Calculated values
The calculation puts the total energy at -6.09 eV per atom. The calculation puts the energy relative to the elements, uncorrected at -1119.9 meV per atom.

Cell: 7.664 4.378 7.682 Å, 90.00 109.11 90.00°
Fractional coordinates of all 8 atoms:
Na1 0.000 0.000 0.000
Y1 0.000 0.500 0.500
Y2 0.500 0.000 0.500
Np1 0.500 0.500 0.000
Te1 0.248 0.000 0.747
Te2 0.252 0.500 0.256
Te3 0.748 0.500 0.744
Te4 0.752 0.000 0.253

---

Entry 5:
A relaxed structure of Na4Y3NpTe8. Source: Alexandria, functional PBE.

Calculated values
The calculation puts the total energy at -5.12 eV per atom. The calculation puts the energy relative to the elements, uncorrected at -1194.6 meV per atom.

Cell: 9.138 9.138 9.138 Å, 58.26 58.26 58.26°
Fractional coordinates of all 16 atoms:
Na1 0.000 0.000 0.000
Na2 0.000 0.500 0.500
Na3 0.500 0.000 0.500
Na4 0.500 0.500 0.000
Y1 0.000 0.000 0.500
Y2 0.000 0.500 0.000
Y3 0.500 0.000 0.000
Np1 0.500 0.500 0.500
Te1 0.241 0.746 0.746
Te2 0.244 0.244 0.244
Te3 0.254 0.254 0.759
Te4 0.254 0.759 0.254
Te5 0.746 0.241 0.746
Te6 0.746 0.746 0.241
Te7 0.756 0.756 0.756
Te8 0.759 0.254 0.254

---

Entry 6:
A relaxed structure of Na3ZrNp2Te6. Source: Alexandria, functional PBE.

Calculated values
The calculation puts the total energy at -5.61 eV per atom. The calculation puts the energy relative to the elements, uncorrected at -842.2 meV per atom.

Cell: 7.531 7.531 8.036 Å, 99.00 99.00 120.02°
Fractional coordinates of all 12 atoms:
Na1 0.000 0.000 0.000
Na2 0.330 0.670 0.000
Na3 0.670 0.330 0.000
Zr1 0.500 0.500 0.500
Np1 0.166 0.834 0.500
Np2 0.834 0.166 0.500
Te1 0.103 0.423 0.268
Te2 0.258 0.258 0.732
Te3 0.423 0.103 0.268
Te4 0.577 0.897 0.732
Te5 0.742 0.742 0.268
Te6 0.897 0.577 0.732

---

Entry 7:
A relaxed structure of Na3Zr3NpTe8. Source: Alexandria, functional PBE.

Calculated values
The calculation puts the total energy at -5.38 eV per atom. The calculation puts the energy relative to the elements, uncorrected at -870.5 meV per atom.

Cell: 8.295 8.295 9.129 Å, 117.07 117.07 59.98°
Fractional coordinates of all 15 atoms:
Na1 0.000 0.000 0.000
Na2 0.000 0.500 0.000
Na3 0.500 0.000 0.000
Zr1 0.000 0.500 0.500
Zr2 0.500 0.000 0.500
Zr3 0.500 0.500 0.500
Np1 0.000 0.000 0.500
Te1 0.252 0.252 0.730
Te2 0.252 0.727 0.730
Te3 0.258 0.258 0.275
Te4 0.273 0.748 0.270
Te5 0.727 0.252 0.730
Te6 0.742 0.742 0.725
Te7 0.748 0.273 0.270
Te8 0.748 0.748 0.270

---

Entry 8:
A relaxed structure of Na2ZrNpTe4. Source: Alexandria, functional PBE.

Calculated values
The calculation puts the total energy at -5.44 eV per atom. The calculation puts the energy relative to the elements, uncorrected at -852.8 meV per atom.

Cell: 7.405 4.283 8.088 Å, 90.00 107.74 90.00°
Fractional coordinates of all 8 atoms:
Na1 0.000 0.000 0.000
Na2 0.500 0.500 0.000
Zr1 0.000 0.500 0.500
Np1 0.500 0.000 0.500
Te1 0.231 0.000 0.727
Te2 0.243 0.500 0.266
Te3 0.757 0.500 0.734
Te4 0.769 0.000 0.273